Material: BaCuNi4
Method: DFT, PBE-GGA
State: relaxed

ΔE_f in eV per atom: 0.30

```
data_BaCuNi4
_symmetry_space_group_name_H-M 'P 1'
_symmetry_Int_Tables_number 1
_symmetry_space_group_name_Hall 'P 1'
_cell_length_a 5.0775
_cell_length_b 5.0775
_cell_length_c 5.0775
_cell_angle_alpha 60.00
_cell_angle_beta 60.00
_cell_angle_gamma 60.00
loop_
_atom_site_label
_atom_site_type_symbol
_atom_site_fract_x
_atom_site_fract_y
_atom_site_fract_z
_atom_site_occupancy
Ba1 Ba 0.7500 0.7500 0.7500 1
Cu1 Cu 0.0000 0.0000 0.0000 1
Ni1 Ni 0.8794 0.3735 0.3735 1
Ni2 Ni 0.3735 0.3735 0.8794 1
Ni3 Ni 0.3735 0.8794 0.3735 1
Ni4 Ni 0.3735 0.3735 0.3735 1
```

=====

Material: DyGe2Pt4Rh
Method: DFT, PBE-GGA
State: relaxed

ΔE_f in eV per atom: -0.42

```
data_DyGe2Pt4Rh
_symmetry_space_group_name_H-M 'P 1'
_symmetry_Int_Tables_number 1
_symmetry_space_group_name_Hall 'P 1'
_cell_length_a 3.9223
_cell_length_b 3.9223
_cell_length_c 9.7287
_cell_angle_alpha 90.00
_cell_angle_beta 90.00
_cell_angle_gamma 90.00
loop_
_atom_site_label
_atom_site_type_symbol
_atom_site_fract_x
_atom_site_fract_y
_atom_site_fract_z
_atom_site_occupancy
Dy1 Dy 0.0000 0.0000 0.0000 1
Ge1 Ge 0.5000 0.5000 0.3782 1
Ge2 Ge 0.5000 0.5000 0.6218 1
Pt1 Pt 0.0000 0.5000 0.2253 1
Pt2 Pt 0.5000 0.0000 0.7747 1
Pt3 Pt 0.5000 0.0000 0.2253 1
Pt4 Pt 0.0000 0.5000 0.7747 1
Rh1 Rh 0.0000 0.0000 0.5000 1
```

=====

Material: LiSiRh2
Method: DFT, PBE-GGA
State: relaxed

Formation energy (no corrections) in eV per atom: -0.453

```
data_LiSiRh2
_symmetry_space_group_name_H-M 'P 1'
_symmetry_Int_Tables_number 1
_symmetry_space_group_name_Hall 'P 1'
_cell_length_a 8.0472
_cell_length_b 8.0472
_cell_length_c 8.0472
_cell_angle_alpha 20.59
_cell_angle_beta 20.59
_cell_angle_gamma 20.59
loop_
_atom_site_label
_atom_site_type_symbol
_atom_site_fract_x
_atom_site_fract_y
_atom_site_fract_z
_atom_site_occupancy
Li1 Li 0.7500 0.7500 0.7500 1
Rh1 Rh 0.9900 0.9900 0.9900 1
Rh2 Rh 0.5100 0.5100 0.5100 1
Si1 Si 0.2500 0.2500 0.2500 1
```

=====

Material: Ba2HgGe4Au3
Method: DFT, PBE-GGA
State: relaxed

ΔE_f in eV per atom: -0.46

```
data_Ba2HgGe4Au3
_symmetry_space_group_name_H-M 'P 1'
_symmetry_Int_Tables_number 1
_symmetry_space_group_name_Hall 'P 1'
_cell_length_a 4.7104
_cell_length_b 4.7104
_cell_length_c 10.8629
_cell_angle_alpha 90.00
_cell_angle_beta 90.00
_cell_angle_gamma 90.00
loop_
_atom_site_label
_atom_site_type_symbol
_atom_site_fract_x
_atom_site_fract_y
_atom_site_fract_z
_atom_site_occupancy
Ba1 Ba 0.5000 0.0000 0.2481 1
Ba2 Ba 0.0000 0.5000 0.7519 1
Hg1 Hg 0.5000 0.5000 0.5000 1
Ge1 Ge 0.5000 0.5000 0.0000 1
Ge2 Ge 0.0000 0.0000 0.0000 1
Ge3 Ge 0.5000 0.0000 0.6378 1
Ge4 Ge 0.0000 0.5000 0.3622 1
Au1 Au 0.0000 0.0000 0.5000 1
Au2 Au 0.5000 0.0000 0.8793 1
Au3 Au 0.0000 0.5000 0.1207 1
```

=====

Material: ZrPbSe4
Method: DFT, PBE-GGA
State: relaxed

Formation energy (no corrections) in eV per atom: 0.350

```
data_ZrPbSe4
_symmetry_space_group_name_H-M 'P 1'
_symmetry_Int_Tables_number 1
_symmetry_space_group_name_Hall 'P 1'
_cell_length_a 5.7779
_cell_length_b 5.7779
_cell_length_c 5.7779
_cell_angle_alpha 60.00
_cell_angle_beta 60.00
_cell_angle_gamma 60.00
loop_
_atom_site_label
_atom_site_type_symbol
_atom_site_fract_x
_atom_site_fract_y
_atom_site_fract_z
_atom_site_occupancy
Zr1 Zr 0.7500 0.7500 0.7500 1
Pb1 Pb 0.0000 0.0000 0.0000 1
Se1 Se 0.8704 0.3765 0.3765 1
Se2 Se 0.3765 0.3765 0.8704 1
Se3 Se 0.3765 0.8704 0.3765 1
Se4 Se 0.3765 0.3765 0.3765 1
```

=====

Material: TlCuSb2Te
Method: DFT, PBE-GGA
State: relaxed

Formation energy (no corrections) in eV per atom: 0.284
Relative energy among the computed polymorphs in kJ/mol of formula units: 0

```
data_TlCuSb2Te
_symmetry_space_group_name_H-M 'P 1'
_symmetry_Int_Tables_number 1
_symmetry_space_group_name_Hall 'P 1'
_cell_length_a 5.1394
_cell_length_b 5.1394
_cell_length_c 5.5311
_cell_angle_alpha 90.00
_cell_angle_beta 90.00
_cell_angle_gamma 90.00
loop_
_atom_site_label
_atom_site_type_symbol
_atom_site_fract_x
_atom_site_fract_y
_atom_site_fract_z
_atom_site_occupancy
Sb1 Sb 0.0000 0.5000 0.0000 1
Sb2 Sb 0.5000 0.0000 0.0000 1
Tl1 Tl 0.5000 0.5000 0.5000 1
Te1 Te 0.0000 0.0000 0.5000 1
Cu1 Cu 0.0000 0.0000 0.0000 1
```